Here is an optimized crystal structure of LiHoGaCu from the Alexandria database. Energies are from GGA-PBE.

Results
- D(E_F) (states/eV/f.u.) = 0.85
- magnetic moment (μB/f.u.) = 0.00
- symmetry = F-43m
- electronic total energy (eV per atom) = -3.7796

The structure in POSCAR format:
```
LiHoGaCu
1.0
4.552 0.000 0.000
2.276 3.942 0.000
2.276 1.314 3.717
Cu Ho Ga Li
1 1 1 1
direct
0.250 0.250 0.250 Cu
0.000 0.000 0.000 Ho
0.500 0.500 0.500 Ga
0.750 0.750 0.750 Li
```